No. 1
## Ac3Pr (GGA-PBE)

Data for a relaxed structure of Ac3Pr.

Lattice parameters (Å, degrees): 5.5914 7.8286 7.8286 89.59 90.00 90.00
Closest atoms and distances in Å follow each position.
Sites, in units of the cell vectors:
Pr: 0.2500 0.6220 0.6219  10 Ac 3.85-3.97, 2 Pr 3.89
Pr: 0.7500 0.3780 0.3781  10 Ac 3.85-3.97, 2 Pr 3.89
Ac: 0.2500 0.1274 0.1275  10 Ac 3.87-3.98, 2 Pr 3.95
Ac: 0.2500 0.6214 0.1296  4 Pr 3.85-3.97, 8 Ac 3.87-3.96
Ac: 0.2500 0.1297 0.6215  4 Pr 3.85-3.97, 8 Ac 3.87-3.96
Ac: 0.7500 0.3786 0.8704  4 Pr 3.85-3.97, 8 Ac 3.87-3.96
Ac: 0.7500 0.8726 0.8725  10 Ac 3.87-3.98, 2 Pr 3.95
Ac: 0.7500 0.8703 0.3785  4 Pr 3.85-3.97, 8 Ac 3.87-3.96

Properties
Its volume is 342.7 Å³ per cell. As for the energy of formation: 24 meV/atom. As for the energy relative to the lowest polymorph listed for this composition: 7 meV per atom. The magnetic moment is 0.0 μB/f.u. The total energy is -4.2526 eV per atom. Its mass density is 8.0 g cm⁻³. The space group is Cmcm, No. 63.

No. 2
## Ac8Pr3 (GGA-PBE)

Data for a relaxed structure of Ac8Pr3.

Lattice parameters (Å, degrees): 8.3450 8.3450 8.3450 106.05 106.05 106.05
Closest atoms and distances in Å follow each position.
Sites, in units of the cell vectors:
Pr: 0.0000 0.5000 0.5000  4 Ac 3.43-3.47
Pr: 0.5000 0.5000 0.0000  4 Ac 3.43-3.47
Pr: 0.5000 0.0000 0.5000  4 Ac 3.43-3.47
Ac: 0.2573 0.2573 0.2573  3 Pr 3.92, 6 Ac 4.25-4.39
Ac: 0.6901 0.1980 0.0743  2 Pr 3.43-3.47, 3 Ac 3.51-3.54
Ac: 0.0743 0.6901 0.1980  2 Pr 3.43-3.47, 3 Ac 3.51-3.54
Ac: 0.8020 0.9257 0.3099  2 Pr 3.43-3.47, 3 Ac 3.51-3.54
Ac: 0.1980 0.0743 0.6901  2 Pr 3.43-3.47, 3 Ac 3.51-3.54
Ac: 0.9257 0.3099 0.8020  2 Pr 3.43-3.47, 3 Ac 3.51-3.54
Ac: 0.7427 0.7427 0.7427  3 Pr 3.92, 6 Ac 4.25-4.39
Ac: 0.3099 0.8020 0.9257  2 Pr 3.43-3.47, 3 Ac 3.51-3.54

Properties
Its volume is 496.0 Å³ per cell. As for the energy of formation: 362 meV/atom. The magnetic moment is 0.0 μB/f.u. The total energy is -3.9292 eV per atom. Its mass density is 7.5 g cm⁻³. The space group is R-3, No. 148.

No. 3
## AcPr5 (GGA-PBE)

Data for a relaxed structure of AcPr5.

Lattice parameters (Å, degrees): 5.3306 6.5149 7.5077 106.71 90.00 114.15
Closest atoms and distances in Å follow each position.
Sites, in units of the cell vectors:
Pr: 0.6396 0.2793 0.8925  9 Pr 3.71-3.80, 3 Ac 3.77
Pr: 0.3056 0.6112 0.2222  10 Pr 3.73-3.77, 2 Ac 3.75
Pr: 0.6360 0.2721 0.3847  10 Pr 3.71-3.80, 2 Ac 3.79
Pr: 0.9714 0.9428 0.5520  9 Pr 3.71-3.80, 3 Ac 3.77
Pr: 0.9751 0.9502 0.0597  10 Pr 3.71-3.80, 2 Ac 3.79
Ac: 0.3055 0.6110 0.7222  12 Pr 3.75-3.79

Properties
Its volume is 225.8 Å³ per cell. As for the energy of formation: 20 meV/atom. As for the energy relative to the lowest polymorph listed for this composition: 2 meV per atom. The magnetic moment is 0.0 μB/f.u. The total energy is -4.6472 eV per atom. Its mass density is 6.9 g cm⁻³. The space group is C2/m, No. 12.

No. 4
## AcPr4 (GGA-PBE)

Data for a relaxed structure of AcPr4.

Lattice parameters (Å, degrees): 6.1356 6.1356 6.1356 90.00 90.00 90.00
Closest atoms and distances in Å follow each position.
Sites, in units of the cell vectors:
Pr: 0.5000 0.5000 0.0000  2 Ac 3.07
Pr: 0.0000 0.0000 0.0000  12 Pr 4.34
Pr: 0.5000 0.0000 0.5000  2 Ac 3.07
Pr: 0.0000 0.5000 0.5000  2 Ac 3.07
Ac: 0.5000 0.5000 0.5000  6 Pr 3.07

Properties
Its volume is 231.0 Å³ per cell. As for the energy of formation: 828 meV/atom. As for the energy relative to the lowest polymorph listed for this composition: 807 meV per atom. The magnetic moment is 0.4 μB/f.u. The total energy is -3.8172 eV per atom. Its mass density is 5.7 g cm⁻³. The space group is Pm-3m, No. 221.

No. 5
## AcPr2 (GGA-PBE)

Data for a relaxed structure of AcPr2.

Lattice parameters (Å, degrees): 3.8311 3.8311 8.4390 103.14 103.14 89.93
Closest atoms and distances in Å follow each position.
Sites, in units of the cell vectors:
Pr: 0.3292 0.3292 0.6584  8 Pr 3.71-3.83, 4 Ac 3.84-3.85
Pr: 0.6708 0.6708 0.3416  8 Pr 3.71-3.83, 4 Ac 3.84-3.85
Ac: 0.0000 0.0000 0.0000  4 Ac 3.83, 8 Pr 3.84-3.85

Properties
Its volume is 117.3 Å³ per cell. As for the energy of formation: 24 meV/atom. As for the energy relative to the lowest polymorph listed for this composition: 0 meV per atom. The magnetic moment is 0.0 μB/f.u. The total energy is -4.5314 eV per atom. Its mass density is 7.2 g cm⁻³. The space group is I4/mmm, No. 139.

No. 6
## Ac2Pr (GGA-PBE)

Data for a relaxed structure of Ac2Pr.

Lattice parameters (Å, degrees): 3.9380 3.9380 9.6940 78.28 78.28 60.00
Closest atoms and distances in Å follow each position.
Sites, in units of the cell vectors:
Pr: 0.0006 0.0006 0.9981  6 Ac 3.81-3.85, 6 Pr 3.94
Ac: 0.7752 0.7752 0.6744  3 Pr 3.81, 9 Ac 3.94-3.98
Ac: 0.5574 0.5574 0.3279  3 Pr 3.85, 9 Ac 3.94-3.98

Properties
Its volume is 126.6 Å³ per cell. As for the energy of formation: 19 meV/atom. As for the energy relative to the lowest polymorph listed for this composition: 0 meV per atom. The magnetic moment is 0.0 μB/f.u. The total energy is -4.3126 eV per atom. Its mass density is 7.8 g cm⁻³. The space group is R3m, No. 160.

No. 7
## Ac3Pr (GGA-PBE)

Data for a relaxed structure of Ac3Pr.

Lattice parameters (Å, degrees): 3.7935 3.8200 12.2459 90.00 90.00 90.00
Closest atoms and distances in Å follow each position.
Sites, in units of the cell vectors:
Ac: 0.5000 0.5000 0.1891  6 Ac 3.79-3.91, 4 Pr 3.81
Ac: 0.5000 0.0000 0.7071  2 Pr 3.72, 8 Ac 3.79-3.97
Ac: 0.0000 0.5000 0.4686  10 Ac 3.79-3.97
Pr: 0.0000 0.0000 0.9686  6 Ac 3.72-3.81, 4 Pr 3.79-3.82

Properties
Its volume is 177.5 Å³ per cell. As for the energy of formation: 203 meV/atom. As for the energy relative to the lowest polymorph listed for this composition: 187 meV per atom. The magnetic moment is 0.0 μB/f.u. The total energy is -4.0734 eV per atom. Its mass density is 7.7 g cm⁻³. The space group is Pmm2, No. 25.

No. 8
## AcPr4 (GGA-PBE)

Data for a relaxed structure of AcPr4.

Lattice parameters (Å, degrees): 3.7853 5.3202 9.9668 105.48 100.95 90.00
Closest atoms and distances in Å follow each position.
Sites, in units of the cell vectors:
Ac: 0.0000 0.0000 0.0000  10 Pr 3.78-3.80, 2 Ac 3.79
Pr: 0.3964 0.3964 0.7928  8 Pr 3.68-3.90, 4 Ac 3.80
Pr: 0.7991 0.7991 0.5981  11 Pr 3.68-3.79, 1 Ac 3.78
Pr: 0.2009 0.2009 0.4019  11 Pr 3.68-3.79, 1 Ac 3.78
Pr: 0.6036 0.6036 0.2072  8 Pr 3.68-3.90, 4 Ac 3.80

Properties
Its volume is 189.6 Å³ per cell. As for the energy of formation: 21 meV/atom. As for the energy relative to the lowest polymorph listed for this composition: 0 meV per atom. The magnetic moment is 0.0 μB/f.u. The total energy is -4.6241 eV per atom. Its mass density is 6.9 g cm⁻³. The space group is Immm, No. 71.

> Which value of mass density does entry 7 give?

7.7 g cm⁻³

> Look up the mass density of the eighth one.

6.9 g cm⁻³

Please write out number 3 again, unchanged.
## AcPr5 (GGA-PBE)

Data for a relaxed structure of AcPr5.

Lattice parameters (Å, degrees): 5.3306 6.5149 7.5077 106.71 90.00 114.15
Closest atoms and distances in Å follow each position.
Sites, in units of the cell vectors:
Pr: 0.6396 0.2793 0.8925  9 Pr 3.71-3.80, 3 Ac 3.77
Pr: 0.3056 0.6112 0.2222  10 Pr 3.73-3.77, 2 Ac 3.75
Pr: 0.6360 0.2721 0.3847  10 Pr 3.71-3.80, 2 Ac 3.79
Pr: 0.9714 0.9428 0.5520  9 Pr 3.71-3.80, 3 Ac 3.77
Pr: 0.9751 0.9502 0.0597  10 Pr 3.71-3.80, 2 Ac 3.79
Ac: 0.3055 0.6110 0.7222  12 Pr 3.75-3.79

Properties
Its volume is 225.8 Å³ per cell. As for the energy of formation: 20 meV/atom. As for the energy relative to the lowest polymorph listed for this composition: 2 meV per atom. The magnetic moment is 0.0 μB/f.u. The total energy is -4.6472 eV per atom. Its mass density is 6.9 g cm⁻³. The space group is C2/m, No. 12.

Please write out number 2 again, unchanged.
## Ac8Pr3 (GGA-PBE)

Data for a relaxed structure of Ac8Pr3.

Lattice parameters (Å, degrees): 8.3450 8.3450 8.3450 106.05 106.05 106.05
Closest atoms and distances in Å follow each position.
Sites, in units of the cell vectors:
Pr: 0.0000 0.5000 0.5000  4 Ac 3.43-3.47
Pr: 0.5000 0.5000 0.0000  4 Ac 3.43-3.47
Pr: 0.5000 0.0000 0.5000  4 Ac 3.43-3.47
Ac: 0.2573 0.2573 0.2573  3 Pr 3.92, 6 Ac 4.25-4.39
Ac: 0.6901 0.1980 0.0743  2 Pr 3.43-3.47, 3 Ac 3.51-3.54
Ac: 0.0743 0.6901 0.1980  2 Pr 3.43-3.47, 3 Ac 3.51-3.54
Ac: 0.8020 0.9257 0.3099  2 Pr 3.43-3.47, 3 Ac 3.51-3.54
Ac: 0.1980 0.0743 0.6901  2 Pr 3.43-3.47, 3 Ac 3.51-3.54
Ac: 0.9257 0.3099 0.8020  2 Pr 3.43-3.47, 3 Ac 3.51-3.54
Ac: 0.7427 0.7427 0.7427  3 Pr 3.92, 6 Ac 4.25-4.39
Ac: 0.3099 0.8020 0.9257  2 Pr 3.43-3.47, 3 Ac 3.51-3.54

Properties
Its volume is 496.0 Å³ per cell. As for the energy of formation: 362 meV/atom. The magnetic moment is 0.0 μB/f.u. The total energy is -3.9292 eV per atom. Its mass density is 7.5 g cm⁻³. The space group is R-3, No. 148.